A plane-wave DFT calculation with GGA-PBE was carried out for a relaxed GaBiI3 crystal.

Calculated values
Offset from the most stable computed form, kJ/mol of formula units: 149

a = 5.6561 Å, b = 5.6561 Å, c = 5.6561 Å
α = 90.00°, β = 90.00°, γ = 90.00°
With the nearest neighbours (Å) after each atom.
Fractional coordinates of all 5 atoms:
Ga1 0.0000 0.0000 0.0000  6 I 2.83
Bi1 0.5000 0.5000 0.5000  12 I 4.00
I1 0.0000 0.0000 0.5000  2 Ga 2.83
I2 0.0000 0.5000 0.0000  2 Ga 2.83
I3 0.5000 0.0000 0.0000  2 Ga 2.83